No. 1
Crystalline CeSm2Ir3 at its relaxed geometry. Source: the Alexandria database, functional GGA-PBE.

POSCAR file:
```
CeSm2Ir3
1.0
-0.526 -3.988 -0.192
2.430 -0.068 -5.241
4.577 1.174 5.291
Ce Sm Ir
1 2 3
Direct
0.000 0.500 0.000 Ce
0.669 0.169 0.337 Sm
0.331 0.831 0.663 Sm
0.344 0.344 0.688 Ir
0.000 0.000 0.000 Ir
0.656 0.656 0.312 Ir
```

Values from the calculation:
Total DFT energy (no corrections), eV per atom: -7.513
Volume, Å³ per cell: 143.3
Theoretical density, g/cm³: 11.79
Crystal system: orthorhombic

No. 2
Crystalline Ga2BiAsO at its relaxed geometry. Source: the Alexandria database, functional GGA-PBE.

POSCAR file:
```
Ga2BiAsO
1.0
4.689 0.000 0.000
0.000 4.486 0.000
0.000 0.000 4.689
O As Bi Ga
1 1 1 2
Direct
0.000 0.000 0.000 O
0.000 0.500 0.000 As
0.500 0.500 0.500 Bi
0.000 0.000 0.500 Ga
0.500 0.000 0.000 Ga
```

Values from the calculation:
Total DFT energy (no corrections), eV per atom: -4.029
Volume, Å³ per cell: 98.6
Theoretical density, g/cm³: 7.40
Crystal system: tetragonal

No. 3
Crystalline YTmSiRh at its relaxed geometry. Source: the Alexandria database, functional GGA-PBE.

POSCAR file:
```
YTmSiRh
1.0
4.124 0.000 0.000
0.000 3.952 0.000
-2.062 0.000 5.285
Y Tm Si Rh
1 1 1 1
Direct
0.144 0.000 0.289 Y
0.862 0.500 0.724 Tm
0.570 0.500 0.139 Si
0.424 0.000 0.848 Rh
```

Values from the calculation:
Total DFT energy (no corrections), eV per atom: -6.796
Volume, Å³ per cell: 86.1
Theoretical density, g/cm³: 7.50
Crystal system: orthorhombic

No. 4
Crystalline CdWS3 at its relaxed geometry. Source: the Alexandria database, functional GGA-PBE.

POSCAR file:
```
CdWS3
1.0
4.850 0.000 0.000
0.000 4.850 0.000
0.000 0.000 4.850
S W Cd
3 1 1
Direct
0.000 0.500 0.000 S
0.000 0.000 0.500 S
0.500 0.000 0.000 S
0.500 0.500 0.500 W
0.000 0.000 0.000 Cd
```

Values from the calculation:
Total DFT energy (no corrections), eV per atom: -3.758
Volume, Å³ per cell: 114.1
Theoretical density, g/cm³: 5.71
Crystal system: cubic

No. 5
Crystalline UTiS3 at its relaxed geometry. Source: the Alexandria database, functional GGA-PBE.

POSCAR file:
```
UTiS3
1.0
-2.309 0.526 2.718
1.313 -7.300 2.529
9.625 4.277 7.349
U Ti S
4 4 12
Direct
0.250 0.899 0.320 U
0.750 0.101 0.680 U
0.750 0.601 0.820 U
0.250 0.399 0.180 U
0.250 0.647 0.549 Ti
0.750 0.353 0.451 Ti
0.750 0.853 0.049 Ti
0.250 0.147 0.951 Ti
0.750 0.183 0.291 S
0.250 0.657 0.987 S
0.250 0.030 0.121 S
0.250 0.530 0.379 S
0.250 0.157 0.513 S
0.750 0.470 0.621 S
0.250 0.317 0.791 S
0.750 0.970 0.879 S
0.750 0.343 0.013 S
0.750 0.683 0.209 S
0.750 0.843 0.487 S
0.250 0.817 0.709 S
```

Values from the calculation:
Total DFT energy (no corrections), eV per atom: -7.714
Volume, Å³ per cell: 362.8
Theoretical density, g/cm³: 6.99
Crystal system: orthorhombic

No. 6
Crystalline TbHfN at its relaxed geometry. Source: the Alexandria database, functional GGA-PBE.

POSCAR file:
```
TbHfN
1.0
5.646 0.000 0.000
0.000 3.346 0.000
0.000 -1.673 2.898
Tb Hf N
1 1 1
Direct
0.576 0.667 0.333 Tb
0.113 0.000 0.000 Hf
0.311 0.333 0.667 N
```

Values from the calculation:
Total DFT energy (no corrections), eV per atom: -8.682
Volume, Å³ per cell: 54.7
Theoretical density, g/cm³: 10.66
Crystal system: trigonal